VASP calculation (PBE) on an optimized crystal structure of TbErNiAu.

Properties
**D(E_F)**: 2.15 states/eV/f.u.
**Symmetry**: No. 38
**Calculated formation energy**: -647.4 meV/atom
**Energy above the lowest structure with this stoichiometry**: 0 meV per atom

```
data_TbErNiAu
_chemical_formula_sum 'Tb1 Er1 Ni1 Au1'
_cell_length_a 3.753
_cell_length_b 4.532
_cell_length_c 5.525
_cell_angle_alpha 90.00
_cell_angle_beta 109.85
_cell_angle_gamma 90.00
_space_group_name_H-M_alt 'P 1'
_space_group_IT_number 1
loop_
_space_group_symop_operation_xyz
'x,y,z'
loop_
_atom_site_label
_atom_site_fract_x
_atom_site_fract_y
_atom_site_fract_z
_atom_site_occupancy
Tb1 0.142 0.000 0.285 1
Er1 0.862 0.500 0.723 1
Ni1 0.418 0.000 0.836 1
Au1 0.578 0.500 0.156 1
```

VASP calculation (PBE) on an optimized crystal structure of SmDy4Zn.

Properties
**D(E_F)**: 8.24 states/eV/f.u.
**Symmetry**: No. 15
**Calculated formation energy**: -0.7 meV/atom
**Energy above the lowest structure with this stoichiometry**: 98 meV per atom

```
data_SmDy4Zn
_chemical_formula_sum 'Sm2 Dy8 Zn2'
_cell_length_a 6.215
_cell_length_b 9.015
_cell_length_c 8.092
_cell_angle_alpha 114.46
_cell_angle_beta 100.17
_cell_angle_gamma 111.86
_space_group_name_H-M_alt 'P 1'
_space_group_IT_number 1
loop_
_space_group_symop_operation_xyz
'x,y,z'
loop_
_atom_site_label
_atom_site_fract_x
_atom_site_fract_y
_atom_site_fract_z
_atom_site_occupancy
Sm1 0.347 0.597 0.194 1
Sm2 0.653 0.403 0.806 1
Dy1 0.037 0.164 0.778 1
Dy2 0.765 0.714 0.637 1
Dy3 0.241 0.614 0.778 1
Dy4 0.372 0.923 0.637 1
Dy5 0.628 0.077 0.363 1
Dy6 0.759 0.386 0.222 1
Dy7 0.235 0.286 0.363 1
Dy8 0.963 0.836 0.222 1
Zn1 0.250 0.000 0.000 1
Zn2 0.750 0.000 0.000 1
```

VASP calculation (PBE) on an optimized crystal structure of CSe2Br.

Properties
**Formation energy from raw total energies**: 613 meV per atom
**D(E_F)**: 4.32 states/eV/f.u.
**Symmetry**: No. 166
**Energy above the lowest structure with this stoichiometry**: 0 meV per atom

```
data_CSe2Br
_chemical_formula_sum 'C1 Se2 Br1'
_cell_length_a 7.602
_cell_length_b 7.602
_cell_length_c 7.602
_cell_angle_alpha 37.14
_cell_angle_beta 37.14
_cell_angle_gamma 37.14
_space_group_name_H-M_alt 'P 1'
_space_group_IT_number 1
loop_
_space_group_symop_operation_xyz
'x,y,z'
loop_
_atom_site_label
_atom_site_fract_x
_atom_site_fract_y
_atom_site_fract_z
_atom_site_occupancy
C1 0.000 0.000 0.000 1
Se1 0.919 0.919 0.919 1
Se2 0.081 0.081 0.081 1
Br1 0.500 0.500 0.500 1
```

VASP calculation (PBE) on an optimized crystal structure of Hf5Sc.

Properties
**D(E_F)**: 8.17 states/eV/f.u.
**Symmetry**: No. 65
**Calculated formation energy**: 70.8 meV/atom
**Energy above the lowest structure with this stoichiometry**: 84 meV per atom

```
data_Hf5Sc
_chemical_formula_sum 'Hf5 Sc1'
_cell_length_a 4.458
_cell_length_b 4.493
_cell_length_c 7.112
_cell_angle_alpha 108.41
_cell_angle_beta 90.00
_cell_angle_gamma 90.00
_space_group_name_H-M_alt 'P 1'
_space_group_IT_number 1
loop_
_space_group_symop_operation_xyz
'x,y,z'
loop_
_atom_site_label
_atom_site_fract_x
_atom_site_fract_y
_atom_site_fract_z
_atom_site_occupancy
Sc1 0.000 0.000 0.000 1
Hf1 0.500 0.833 0.665 1
Hf2 0.000 0.669 0.338 1
Hf3 0.500 0.500 0.000 1
Hf4 0.000 0.331 0.662 1
Hf5 0.500 0.167 0.335 1
```

Which value of D(E_F) does entry 1 give?
2.15 states/eV/f.u.